Entry from Alexandria: an optimized crystal structure of Nd2ThOs (PBE).

Lattice parameters (Å, degrees): 6.572 7.366 9.904 90.00 90.00 90.00
Atoms (fractional coordinates):
Os (0.972, 0.628, 0.750)
Os (0.472, 0.872, 0.250)
Os (0.528, 0.128, 0.750)
Os (0.028, 0.372, 0.250)
Th (0.163, 0.949, 0.750)
Th (0.337, 0.449, 0.750)
Th (0.663, 0.551, 0.250)
Th (0.837, 0.051, 0.250)
Nd (0.173, 0.673, 0.433)
Nd (0.673, 0.827, 0.933)
Nd (0.673, 0.827, 0.567)
Nd (0.327, 0.173, 0.067)
Nd (0.827, 0.327, 0.933)
Nd (0.173, 0.673, 0.067)
Nd (0.327, 0.173, 0.433)
Nd (0.827, 0.327, 0.567)

Properties
Uncorrected energy ... -7.220 eV/atom
Symmetry ... Pnma
DOS at the Fermi energy ... 4.89 states/eV/f.u.
Total magnetization ... 0.0 μB/f.u.
Density ... 9.847 Mg/m³
ΔE to the lowest computed polymorph ... 0.000 eV per atom